[1]
A relaxed structure of Ce2Hg3Bi, computed with PBE.

```
Ce2Hg3Bi
1.0
2.507 8.911 -0.842
-2.507 8.911 -0.842
0.000 5.789 6.757
Ce Hg Bi
4 6 2
Direct
0.756 0.756 0.829
0.545 0.545 0.807
0.455 0.455 0.193
0.244 0.244 0.171
0.395 0.395 0.684
0.944 0.944 0.427
0.056 0.056 0.573
0.754 0.754 0.419
0.246 0.246 0.581
0.605 0.605 0.316
0.892 0.892 0.998
0.108 0.108 0.002
```

Summary:
- formation energy from the elements (eV per atom) = -0.364
- E_tot (eV for the cell shown) = -37.68

[2]
A relaxed structure of CsUTl2Se6, computed with PBE.

```
CsUTl2Se6
1.0
-2.901 1.459 -6.928
2.295 -6.871 -2.408
-10.251 -4.908 4.235
Se Tl U Cs
12 4 2 2
Direct
0.545 0.316 0.583
0.677 0.404 0.929
0.177 0.096 0.429
0.323 0.596 0.071
0.045 0.184 0.083
0.399 0.884 0.707
0.601 0.116 0.293
0.899 0.616 0.207
0.101 0.384 0.793
0.823 0.904 0.571
0.955 0.816 0.917
0.455 0.684 0.417
0.438 0.521 0.762
0.062 0.021 0.738
0.562 0.479 0.238
0.938 0.979 0.262
0.500 0.000 0.500
0.000 0.500 0.000
0.000 0.500 0.500
0.500 0.000 0.000
```

Summary:
- formation energy from raw total energies (eV/atom) = -0.600
- E_tot (eV for the cell shown) = -87.57

[3]
A relaxed structure of CsGa2BiW, computed with PBE.

```
CsGa2BiW
1.0
5.115 0.000 0.000
0.000 5.770 0.000
0.000 0.000 5.115
Bi Ga W Cs
1 2 1 1
Direct
0.500 0.500 0.500
0.500 0.000 0.000
0.000 0.000 0.500
0.000 0.000 0.000
0.000 0.500 0.000
```

Summary:
- formation energy from the elements (eV per atom) = 1.069
- E_tot (eV for the cell shown) = -18.39

[4]
A relaxed structure of NpSbAs2, computed with PBE.

```
NpSbAs2
1.0
-2.830 2.567 -0.810
-2.961 -3.555 -0.922
-1.344 -0.054 4.522
Sb As Np
1 2 1
Direct
0.500 0.000 0.000
0.000 0.500 0.000
0.000 0.000 0.500
0.500 0.500 0.500
```

Summary:
- formation energy from raw total energies (eV/atom) = -0.257
- distance to the lowest polymorph of the same formula (eV/f.u.) = 0.000
- E_tot (eV for the cell shown) = -27.39

[5]
A relaxed structure of Ba6As3IBr2, computed with PBE.

```
Ba6As3IBr2
1.0
-0.163 -0.571 -4.782
-9.609 -2.160 0.585
0.473 10.914 1.110
Ba As Br I
6 3 2 1
Direct
0.341 0.398 0.682
0.008 0.724 0.016
0.323 0.935 0.647
0.992 0.276 0.984
0.677 0.065 0.353
0.659 0.602 0.318
0.500 0.500 0.000
0.834 0.168 0.667
0.166 0.832 0.333
0.833 0.666 0.665
0.167 0.334 0.335
0.500 0.000 0.000
```

Summary:
- formation energy from raw total energies (eV/atom) = -1.555
- E_tot (eV for the cell shown) = -49.05

[6]
A relaxed structure of Ba2TlCdH, computed with PBE.

```
Ba2TlCdH
1.0
5.733 0.000 0.000
0.000 5.733 0.000
0.000 0.000 4.634
Ba Tl H Cd
2 1 1 1
Direct
0.500 0.000 0.000
0.000 0.500 0.000
0.500 0.500 0.500
0.000 0.000 0.000
0.000 0.000 0.500
```

Summary:
- distance to the lowest polymorph of the same formula (eV/f.u.) = 0.000
- E_tot (eV for the cell shown) = -12.04

[7]
A relaxed structure of SmCoNiGe2, computed with PBE.

```
SmCoNiGe2
1.0
4.064 0.000 0.000
0.000 4.064 0.000
-2.032 -2.032 5.031
Co Sm Ge Ni
1 1 2 1
Direct
0.250 0.750 0.500
0.000 0.000 0.000
0.629 0.629 0.258
0.371 0.371 0.742
0.750 0.250 0.500
```

Summary:
- formation energy from the elements (eV per atom) = -0.642
- E_tot (eV for the cell shown) = -30.05

[8]
A relaxed structure of KNiGe2, computed with PBE.

```
KNiGe2
1.0
5.470 0.000 0.000
0.000 5.470 0.000
2.735 2.735 7.274
Ge K Ni
4 2 2
Direct
0.375 0.125 0.750
0.875 0.125 0.250
0.875 0.125 0.750
0.875 0.625 0.250
0.250 0.750 0.500
0.500 0.500 0.000
0.750 0.250 0.500
0.000 0.000 0.000
```

Summary:
- formation energy from the elements (eV per atom) = 0.004
- E_tot (eV for the cell shown) = -32.20

[9]
A relaxed structure of NbPbN3, computed with PBE.

```
NbPbN3
1.0
-0.085 -4.091 -0.578
4.033 0.044 -0.902
0.899 -0.582 3.992
N Nb Pb
3 1 1
Direct
0.500 0.000 0.000
0.000 0.500 0.000
0.000 0.000 0.500
0.500 0.500 0.500
0.000 0.000 0.000
```

Summary:
- formation energy from raw total energies (eV/atom) = 2.105
- E_tot (eV for the cell shown) = -28.23

[10]
A relaxed structure of LiGa2Mo, computed with PBE.

```
LiGa2Mo
1.0
2.866 0.000 0.000
0.000 4.591 0.000
0.000 0.000 4.591
Mo Ga Li
1 2 1
Direct
0.500 0.500 0.500
0.000 0.500 0.000
0.000 0.000 0.500
0.500 0.000 0.000
```

Summary:
- distance to the lowest polymorph of the same formula (eV/f.u.) = 0.000
- formation energy from the elements (eV per atom) = -0.150
- E_tot (eV for the cell shown) = -19.40

[11]
A relaxed structure of RbB2W, computed with PBE.

```
RbB2W
1.0
1.438 1.213 3.989
-1.452 3.744 1.823
-2.725 -0.146 3.465
B W Rb
2 1 1
Direct
0.250 0.250 0.250
0.750 0.750 0.750
0.500 0.500 0.500
0.000 0.000 0.000
```

Summary:
- distance to the lowest polymorph of the same formula (eV/f.u.) = 6.031
- formation energy from the elements (eV per atom) = 2.493
- E_tot (eV for the cell shown) = -17.30

[12]
A relaxed structure of K2BeCo, computed with PBE.

```
K2BeCo
1.0
5.161 0.000 0.000
2.580 4.469 0.000
2.580 1.490 4.214
K Co Be
2 1 1
Direct
0.250 0.250 0.250
0.000 0.000 0.000
0.750 0.750 0.750
0.500 0.500 0.500
```

Summary:
- formation energy from the elements (eV per atom) = 1.202
- E_tot (eV for the cell shown) = -8.22

[13]
A relaxed structure of Li2BRuI, computed with PBE.

```
Li2BRuI
1.0
4.839 0.000 0.000
0.000 4.826 0.000
0.000 0.000 4.839
I B Ru Li
1 1 1 2
Direct
0.000 0.000 0.000
0.000 0.500 0.000
0.500 0.500 0.500
0.500 0.000 0.000
0.000 0.000 0.500
```

Summary:
- formation energy from raw total energies (eV/atom) = 1.549
- E_tot (eV for the cell shown) = -13.58